# 1
Compound: MgSeCl
Source: Alexandria via LeMat-Bulk
Functional: PBE-GGA
Structure: relaxed

Cell and atoms, written as POSCAR:
```
MgSeCl
1.0
3.735 0.000 0.000
0.000 5.451 0.000
0.000 0.000 15.534
Mg Se Cl
4 4 4
Direct
0.000 0.000 0.000 Mg
0.000 0.500 0.500 Mg
0.500 0.000 0.500 Mg
0.500 0.500 0.000 Mg
0.000 0.000 0.624 Se
0.000 0.500 0.124 Se
0.500 0.000 0.124 Se
0.500 0.500 0.624 Se
0.000 0.000 0.400 Cl
0.000 0.500 0.900 Cl
0.500 0.000 0.900 Cl
0.500 0.500 0.400 Cl
```

Values from the calculation:
Symmetry: Fmm2
E_form (uncorrected): -0.914 eV/atom

---

# 2
Compound: SrAsP2
Source: Alexandria via LeMat-Bulk
Functional: PBE-GGA
Structure: relaxed

Cell and atoms, written as POSCAR:
```
SrAsP2
1.0
3.576 0.000 0.000
0.000 5.446 0.000
0.000 0.000 8.897
Sr As P
2 2 4
Direct
0.000 0.000 0.000 Sr
0.500 0.500 0.500 Sr
0.000 0.000 0.500 As
0.500 0.500 0.000 As
0.000 0.500 0.201 P
0.000 0.500 0.799 P
0.500 0.000 0.299 P
0.500 0.000 0.701 P
```

Values from the calculation:
Formation energy from the elements: -0.146 eV per atom
Symmetry: Immm

---

# 3
Compound: NiSbH2
Source: Alexandria via LeMat-Bulk
Functional: PBE-GGA
Structure: relaxed

Cell and atoms, written as POSCAR:
```
NiSbH2
1.0
5.519 0.000 0.000
0.000 5.519 0.000
0.000 0.000 5.519
Ni Sb H
4 4 8
Direct
0.000 0.000 0.000 Ni
0.000 0.500 0.500 Ni
0.500 0.000 0.500 Ni
0.500 0.500 0.000 Ni
0.000 0.000 0.500 Sb
0.000 0.500 0.000 Sb
0.500 0.000 0.000 Sb
0.500 0.500 0.500 Sb
0.250 0.250 0.250 H
0.250 0.250 0.750 H
0.250 0.750 0.250 H
0.250 0.750 0.750 H
0.750 0.250 0.250 H
0.750 0.250 0.750 H
0.750 0.750 0.250 H
0.750 0.750 0.750 H
```

Values from the calculation:
E above lowest polymorph: 0.442 eV per atom
Symmetry: Fm-3m

---

# 4
Compound: AcSm2Ho
Source: Alexandria via LeMat-Bulk
Functional: PBE-GGA
Structure: relaxed

Cell and atoms, written as POSCAR:
```
AcSm2Ho
1.0
8.317 0.000 0.000
0.000 8.317 0.000
0.000 0.000 8.317
Ac Sm Ho
4 8 4
Direct
0.000 0.000 0.000 Ac
0.000 0.500 0.500 Ac
0.500 0.000 0.500 Ac
0.500 0.500 0.000 Ac
0.250 0.250 0.250 Sm
0.250 0.250 0.750 Sm
0.250 0.750 0.250 Sm
0.250 0.750 0.750 Sm
0.750 0.250 0.250 Sm
0.750 0.250 0.750 Sm
0.750 0.750 0.250 Sm
0.750 0.750 0.750 Sm
0.000 0.000 0.500 Ho
0.000 0.500 0.000 Ho
0.500 0.000 0.000 Ho
0.500 0.500 0.500 Ho
```

Values from the calculation:
E above lowest polymorph: 0.123 eV per atom
Formation energy from the elements: 0.166 eV per atom
Symmetry: Fm-3m